# 1
Density functional theory data (GGA-PBE) for a geometry-optimized YTmBi structure.

The structure belongs to space group I4mm (No. 107); the cell edges are 4.021, 4.021 and 10.854 Å and the angles 90.00°, 90.00° and 90.00°. Symmetry generates all atoms from Y at (0.000, 0.000, 0.000), Tm at (0.000, 0.000, 0.314) and Bi at (0.000, 0.000, 0.659).

***

# 2
Density functional theory data (GGA-PBE) for a geometry-optimized Y4TmBi structure.

The structure belongs to space group C2/m (No. 12); the cell edges are 7.373, 7.373 and 7.815 Å and the angles 90.00°, 90.06° and 90.00°. Symmetry generates all atoms from Y at (0.250, 0.250, 0.244), Tm at (0.000, 0.000, 0.000) and Bi at (0.000, 0.500, 0.500).

***

# 3
Density functional theory data (GGA-PBE) for a geometry-optimized YTm3Bi3 structure.

The structure belongs to space group R-3 (No. 148, hexagonal axes); the cell edges are 9.0164, 9.0164 and 18.7343 Å and the angles 90.00°, 90.00° and 120.00°. Symmetry generates all atoms from Y at (0.0000, 0.0000, 0.1659), Tm at (0.9996, 0.2515, 0.4198) and Bi at (0.0019, 0.6089, 0.4136).

***

| no. | calculated formation energy (eV per formula unit) |
| --- | --- |
| 1 | -1.37 |
| 2 | 1.16 |
| 3 | -4.25 |